A relaxed Ce3YTh2S6 crystal. Source: Alexandria, functional PBE.

a = 6.9629 Å, b = 6.9629 Å, c = 6.9164 Å
α = 99.65°, β = 99.65°, γ = 119.94°
Last column: nearest neighbours and their distance in Å.
Element x y z (fractional)
S: 0.5912 0.9179 0.7529  1 Y 2.79, 3 Ce 2.83-2.87, 2 Th 2.85
S: 0.4088 0.0821 0.2471  1 Y 2.79, 3 Ce 2.83-2.87, 2 Th 2.85
S: 0.0821 0.4088 0.2471  1 Y 2.79, 3 Ce 2.83-2.87, 2 Th 2.85
S: 0.9179 0.5912 0.7529  1 Y 2.79, 3 Ce 2.83-2.87, 2 Th 2.85
S: 0.2431 0.2431 0.7502  1 Y 2.80, 3 Ce 2.83-2.88, 2 Th 2.85
S: 0.7569 0.7569 0.2498  1 Y 2.80, 3 Ce 2.83-2.88, 2 Th 2.85
Th: 0.6663 0.3337 0.0000  6 S 2.85
Th: 0.3337 0.6663 0.0000  6 S 2.85
Ce: 0.8316 0.1684 0.5000  6 S 2.83-2.87
Ce: 0.5000 0.5000 0.5000  6 S 2.83-2.88
Ce: 0.1684 0.8316 0.5000  6 S 2.83-2.87
Y: 0.0000 0.0000 0.0000  6 S 2.79-2.80

- VASP energy (hartree per atom) = -0.268
- formation energy (no corrections) (kJ/mol of atoms) = -190.3


A relaxed CeY3Th4S8 crystal. Source: Alexandria, functional PBE.

a = 7.8710 Å, b = 8.1012 Å, c = 7.8714 Å
α = 119.07°, β = 120.00°, γ = 90.00°
Last column: nearest neighbours and their distance in Å.
Element x y z (fractional)
Y: 0.5000 0.5000 0.5000  6 S 2.77
Y: 0.0000 0.5000 0.5000  6 S 2.77
Y: 0.5000 0.5000 0.0000  6 S 2.77
Th: 0.5000 0.0000 0.0000  6 S 2.85
Th: 0.0000 0.0000 0.5000  6 S 2.88
Th: 0.5000 0.0000 0.5000  6 S 2.88
Th: 0.0000 0.0000 0.0000  6 S 2.88
S: 0.2549 0.2646 0.5098  3 Y 2.77, 3 Th 2.88
S: 0.7516 0.2616 0.5032  2 Y 2.77, 1 Ce 2.80, 3 Th 2.85-2.88
S: 0.7415 0.7384 0.9900  2 Y 2.77, 1 Ce 2.80, 3 Th 2.85-2.88
S: 0.2585 0.2616 0.0100  2 Y 2.77, 1 Ce 2.80, 3 Th 2.85-2.88
S: 0.7516 0.2616 0.0100  2 Y 2.77, 1 Ce 2.80, 3 Th 2.85-2.88
S: 0.7451 0.7354 0.4902  3 Y 2.77, 3 Th 2.88
S: 0.2484 0.7384 0.4968  2 Y 2.77, 1 Ce 2.80, 3 Th 2.85-2.88
S: 0.2484 0.7384 0.9900  2 Y 2.77, 1 Ce 2.80, 3 Th 2.85-2.88
Ce: 0.0000 0.5000 0.0000  6 S 2.80

- VASP energy (hartree per atom) = -0.273
- formation energy (no corrections) (kJ/mol of atoms) = -185.5


A relaxed Ce4YTh3S8 crystal. Source: Alexandria, functional PBE.

a = 8.0465 Å, b = 8.0277 Å, c = 8.0464 Å
α = 120.07°, β = 120.00°, γ = 90.00°
Last column: nearest neighbours and their distance in Å.
Element x y z (fractional)
S: 0.7541 0.2523 0.9983  1 Y 2.80, 3 Ce 2.83-2.89, 2 Th 2.85
S: 0.2490 0.2470 0.4980  3 Ce 2.83, 3 Th 2.85
S: 0.2459 0.7477 0.0017  1 Y 2.80, 3 Ce 2.83-2.89, 2 Th 2.85
S: 0.7510 0.7530 0.5020  3 Ce 2.83, 3 Th 2.85
S: 0.2442 0.2523 0.9983  1 Y 2.80, 3 Ce 2.83-2.89, 2 Th 2.85
S: 0.2459 0.7477 0.4919  1 Y 2.80, 3 Ce 2.83-2.89, 2 Th 2.85
S: 0.7541 0.2523 0.5081  1 Y 2.80, 3 Ce 2.83-2.89, 2 Th 2.85
S: 0.7558 0.7477 0.0017  1 Y 2.80, 3 Ce 2.83-2.89, 2 Th 2.85
Ce: 0.0000 0.0000 0.5000  6 S 2.83
Ce: 0.5000 0.0000 0.5000  6 S 2.83
Ce: 0.0000 0.0000 0.0000  6 S 2.83
Ce: 0.5000 0.0000 0.0000  6 S 2.89
Th: 0.5000 0.5000 0.5000  6 S 2.85
Th: 0.0000 0.5000 0.5000  6 S 2.85
Th: 0.5000 0.5000 0.0000  6 S 2.85
Y: 0.0000 0.5000 0.0000  6 S 2.80

- VASP energy (hartree per atom) = -0.269
- formation energy (no corrections) (kJ/mol of atoms) = -189.8


A relaxed CeY2Th3S6 crystal. Source: Alexandria, functional PBE.

a = 3.9724 Å, b = 8.0424 Å, c = 8.9880 Å
α = 104.39°, β = 102.77°, γ = 90.00°
Last column: nearest neighbours and their distance in Å.
Element x y z (fractional)
S: 0.6700 0.5765 0.3401  3 Y 2.78-2.79, 3 Th 2.89
S: 0.6664 0.0935 0.3328  2 Y 2.76, 1 Ce 2.82, 3 Th 2.85-2.87
S: 0.3300 0.4235 0.6599  3 Y 2.78-2.79, 3 Th 2.89
S: 0.3336 0.9065 0.6672  2 Y 2.76, 1 Ce 2.82, 3 Th 2.85-2.87
S: 0.0038 0.2492 0.0075  1 Y 2.75, 2 Ce 2.81, 3 Th 2.84-2.87
S: 0.9962 0.7508 0.9925  1 Y 2.75, 2 Ce 2.81, 3 Th 2.84-2.87
Th: 0.8343 0.1651 0.6686  6 S 2.85-2.89
Th: 0.5000 0.5000 0.0000  6 S 2.84-2.89
Th: 0.1657 0.8349 0.3314  6 S 2.85-2.89
Y: 0.1658 0.3313 0.3317  6 S 2.75-2.79
Y: 0.8342 0.6687 0.6683  6 S 2.75-2.79
Ce: 0.5000 0.0000 0.0000  6 S 2.81-2.82

- VASP energy (hartree per atom) = -0.272
- formation energy (no corrections) (kJ/mol of atoms) = -185.4


A relaxed Ce3YTh3S8 crystal. Source: Alexandria, functional PBE.

a = 8.0336 Å, b = 8.0339 Å, c = 8.0143 Å
α = 120.08°, β = 90.00°, γ = 120.00°
Last column: nearest neighbours and their distance in Å.
Element x y z (fractional)
S: 0.7533 0.0006 0.7479  1 Y 2.81, 2 Ce 2.83, 2 Th 2.84
S: 0.7510 0.5020 0.7529  3 Ce 2.83, 3 Th 2.85
S: 0.7527 0.5054 0.2521  1 Y 2.81, 2 Ce 2.83, 2 Th 2.84
S: 0.2490 0.4980 0.2471  3 Ce 2.83, 3 Th 2.85
S: 0.2473 0.0006 0.7479  1 Y 2.81, 2 Ce 2.83, 2 Th 2.84
S: 0.7527 0.9994 0.2521  1 Y 2.81, 2 Ce 2.83, 2 Th 2.84
S: 0.2473 0.4946 0.7479  1 Y 2.81, 2 Ce 2.83, 2 Th 2.84
S: 0.2467 0.9994 0.2521  1 Y 2.81, 2 Ce 2.83, 2 Th 2.84
Th: 0.5000 0.5000 0.5000  6 S 2.84-2.85
Th: 0.5000 0.0000 0.5000  6 S 2.84-2.85
Th: 0.0000 0.5000 0.5000  6 S 2.84-2.85
Ce: 0.5000 0.5000 0.0000  6 S 2.83
Ce: 0.0000 0.0000 0.0000  6 S 2.83
Ce: 0.0000 0.5000 0.0000  6 S 2.83
Y: 0.0000 0.0000 0.5000  6 S 2.81

- VASP energy (hartree per atom) = -0.267
- formation energy (no corrections) (kJ/mol of atoms) = -190.6


A relaxed CeTi3S6 crystal. Source: Alexandria, functional PBE.

a = 3.6046 Å, b = 10.2788 Å, c = 10.5065 Å
α = 108.79°, β = 90.00°, γ = 90.00°
Last column: nearest neighbours and their distance in Å.
Element x y z (fractional)
S: 0.2500 0.2043 0.2461  3 Ti 2.44-2.49
S: 0.2500 0.8627 0.5324  2 Ti 2.59, 3 Ce 2.85-2.88
S: 0.7500 0.4818 0.6167  4 Ti 2.49-2.65
S: 0.2500 0.2862 0.7327  3 Ti 2.52-2.67
S: 0.7500 0.7957 0.7539  3 Ti 2.44-2.49
S: 0.7500 0.1373 0.4676  2 Ti 2.59, 3 Ce 2.85-2.88
S: 0.2500 0.5182 0.3833  4 Ti 2.49-2.65
S: 0.2500 0.6187 0.9400  4 Ti 2.45-2.55
S: 0.7500 0.9071 0.0852  3 Ti 2.42-2.45
S: 0.7500 0.7138 0.2673  3 Ti 2.52-2.67
S: 0.7500 0.3813 0.0600  4 Ti 2.45-2.55
S: 0.2500 0.0929 0.9148  3 Ti 2.42-2.45
Ce: 0.7500 0.0551 0.7050  8 S 2.78-2.92
Ce: 0.2500 0.9449 0.2950  8 S 2.78-2.92
Ti: 0.2500 0.3247 0.4930  7 S 2.49-2.67
Ti: 0.7500 0.1410 0.0813  6 S 2.42-2.55
Ti: 0.7500 0.6753 0.5070  7 S 2.49-2.67
Ti: 0.2500 0.8590 0.9187  6 S 2.42-2.55
Ti: 0.7500 0.4490 0.8565  6 S 2.45-2.65
Ti: 0.2500 0.5510 0.1435  6 S 2.45-2.65

- VASP energy (hartree per atom) = -0.254
- formation energy (no corrections) (kJ/mol of atoms) = -143.4


A relaxed CeTiS2 crystal. Source: Alexandria, functional PBE.

a = 3.4884 Å, b = 3.4884 Å, c = 8.6513 Å
α = 78.37°, β = 78.37°, γ = 60.00°
Last column: nearest neighbours and their distance in Å.
Element x y z (fractional)
S: 0.1103 0.1103 0.6692  3 Ti 2.47
S: 0.8897 0.8897 0.3308  3 Ti 2.47
Ti: 0.5000 0.5000 0.5000  6 S 2.47
Ce: 0.0000 0.0000 0.0000  2 S 2.78

- VASP energy (hartree per atom) = -0.242
- formation energy (no corrections) (kJ/mol of atoms) = -103.9


A relaxed Ce2Ti2S7 crystal. Source: Alexandria, functional PBE.

a = 6.5773 Å, b = 7.1833 Å, c = 7.1833 Å
α = 114.58°, β = 94.05°, γ = 94.05°
Last column: nearest neighbours and their distance in Å.
Element x y z (fractional)
S: 0.2247 0.4253 0.4253  2 Ti 2.41-2.60
S: 0.7152 0.3854 0.0479  1 Ti 2.33
S: 0.2848 0.6146 0.9521  1 Ti 2.33
S: 0.2848 0.9521 0.6146  1 Ti 2.33
S: 0.7152 0.0479 0.3854  1 Ti 2.33
S: 0.0000 0.0000 0.0000  2 Ti 2.28
S: 0.7753 0.5747 0.5747  2 Ti 2.41-2.60
Ce: 0.5000 0.3208 0.6792  6 S 2.75-2.83
Ce: 0.5000 0.6792 0.3208  6 S 2.75-2.83
Ti: 0.1146 0.7353 0.7353  4 S 2.28-2.41
Ti: 0.8854 0.2647 0.2647  4 S 2.28-2.41

- VASP energy (hartree per atom) = -0.244
- formation energy (no corrections) (kJ/mol of atoms) = -143.3